Material: K8Au2O3
Method: DFT, GGA-PBE
State: optimized geometry

Cell: 9.011 9.011 7.037 Å, 107.48 107.48 55.06°
Positions (direct):
K (0.086, 0.086, 0.398)
K (0.122, 0.695, 0.118)
K (0.305, 0.878, 0.882)
K (0.399, 0.399, 0.519)
K (0.601, 0.601, 0.481)
K (0.695, 0.122, 0.118)
K (0.878, 0.305, 0.882)
K (0.914, 0.914, 0.602)
Au (0.275, 0.275, 0.833)
Au (0.725, 0.725, 0.167)
O (0.000, 0.000, 0.000)
O (0.258, 0.742, 0.500)
O (0.742, 0.258, 0.500)

Results
The value obtained for the uncorrected formation energy is -0.802 eV per atom. The spin magnetization comes out at 0.3 μB per formula unit.


Material: Cs2SrNdCl6
Method: DFT, GGA-PBE
State: optimized geometry

Cell: 8.010 11.339 8.023 Å, 90.00 90.00 90.00°
Positions (direct):
Cs (0.250, 0.000, 0.249)
Cs (0.250, 0.500, 0.249)
Cs (0.750, 0.000, 0.751)
Cs (0.750, 0.500, 0.751)
Sr (0.250, 0.250, 0.749)
Sr (0.750, 0.750, 0.251)
Nd (0.250, 0.750, 0.751)
Nd (0.750, 0.250, 0.249)
Cl (0.003, 0.750, 0.504)
Cl (0.003, 0.750, 0.999)
Cl (0.250, 0.503, 0.751)
Cl (0.250, 0.997, 0.751)
Cl (0.497, 0.750, 0.504)
Cl (0.497, 0.750, 0.999)
Cl (0.503, 0.250, 0.001)
Cl (0.503, 0.250, 0.496)
Cl (0.750, 0.003, 0.249)
Cl (0.750, 0.497, 0.249)
Cl (0.997, 0.250, 0.001)
Cl (0.997, 0.250, 0.496)

Results
The value obtained for the density of states at the Fermi level is 4.96 states/eV/f.u. The value obtained for the uncorrected formation energy is -2.086 eV per atom. The spin magnetization comes out at 1.0 μB per formula unit.


Material: Sm2MgZn2Pd5
Method: DFT, GGA-PBE
State: optimized geometry

Cell: 9.865 9.865 3.790 Å, 90.00 90.00 90.00°
Positions (direct):
Sm (0.177, 0.323, 0.000)
Sm (0.323, 0.823, 0.000)
Sm (0.677, 0.177, 0.000)
Sm (0.823, 0.677, 0.000)
Mg (0.000, 0.000, 0.000)
Mg (0.500, 0.500, 0.000)
Zn (0.120, 0.620, 0.000)
Zn (0.380, 0.120, 0.000)
Zn (0.620, 0.880, 0.000)
Zn (0.880, 0.380, 0.000)
Pd (0.000, 0.500, 0.500)
Pd (0.066, 0.793, 0.500)
Pd (0.207, 0.066, 0.500)
Pd (0.293, 0.566, 0.500)
Pd (0.434, 0.293, 0.500)
Pd (0.500, 0.000, 0.500)
Pd (0.566, 0.707, 0.500)
Pd (0.707, 0.434, 0.500)
Pd (0.793, 0.934, 0.500)
Pd (0.934, 0.207, 0.500)

Results
The value obtained for the density of states at the Fermi level is 4.05 states/eV/f.u. For the calculated formation energy, the calculation gives -0.68 eV per atom. The spin magnetization comes out at 0.0 μB per formula unit.


Material: KFe2Rh
Method: DFT, GGA-PBE
State: optimized geometry

Cell: 5.140 5.140 2.698 Å, 90.00 90.00 112.50°
Positions (direct):
K (0.000, 0.000, 0.000)
Fe (0.000, 0.500, 0.500)
Fe (0.500, 0.000, 0.500)
Rh (0.500, 0.500, 0.000)

Results
The value obtained for the density of states at the Fermi level is 5.29 states/eV/f.u. The energy above the most stable polymorph in this dataset comes out at 484.5 meV/atom. For the calculated formation energy, the calculation gives 1.01 eV per atom. The spin magnetization comes out at 6.2 μB per formula unit.


Material: Nb2ZnCuH
Method: DFT, GGA-PBE
State: optimized geometry

Cell: 4.066 4.066 3.941 Å, 90.00 90.00 90.00°
Positions (direct):
Nb (0.000, 0.500, 0.000)
Nb (0.500, 0.000, 0.000)
Zn (0.000, 0.000, 0.500)
Cu (0.500, 0.500, 0.500)
H (0.500, 0.500, 0.000)

Results
The value obtained for the density of states at the Fermi level is 2.10 states/eV/f.u. The energy above the most stable polymorph in this dataset comes out at 0.0 meV/atom. The spin magnetization comes out at 0.0 μB per formula unit.


Material: Pu2Tl3In3
Method: DFT, GGA-PBE
State: optimized geometry

Cell: 4.718 4.723 9.461 Å, 90.00 90.00 90.00°
Positions (direct):
Pu (0.000, 0.000, 0.249)
Pu (0.000, 0.000, 0.751)
Tl (0.500, 0.000, 0.500)
Tl (0.500, 0.500, 0.246)
Tl (0.500, 0.500, 0.754)
In (0.000, 0.500, 0.000)
In (0.000, 0.500, 0.500)
In (0.500, 0.000, 0.000)

Results
The value obtained for the density of states at the Fermi level is 25.84 states/eV/f.u. For the calculated formation energy, the calculation gives -0.12 eV per atom. The spin magnetization comes out at 11.5 μB per formula unit.


Material: Li5Pr2Zn4
Method: DFT, GGA-PBE
State: optimized geometry

Cell: 6.940 6.940 8.265 Å, 122.08 122.08 45.73°
Positions (direct):
Li (0.000, 0.000, 0.000)
Li (0.214, 0.711, 0.249)
Li (0.289, 0.786, 0.751)
Li (0.711, 0.214, 0.249)
Li (0.786, 0.289, 0.751)
Pr (0.265, 0.265, 0.710)
Pr (0.735, 0.735, 0.290)
Zn (0.232, 0.232, 0.063)
Zn (0.377, 0.377, 0.443)
Zn (0.623, 0.623, 0.557)
Zn (0.768, 0.768, 0.937)

Results
The value obtained for the density of states at the Fermi level is 6.56 states/eV/f.u. For the calculated formation energy, the calculation gives -0.09 eV per atom. The spin magnetization comes out at 0.0 μB per formula unit.


Material: Sr3Li7Sb4
Method: DFT, GGA-PBE
State: optimized geometry

Cell: 9.177 9.177 9.961 Å, 122.65 122.65 30.38°
Positions (direct):
Sr (0.000, 0.000, 0.000)
Sr (0.291, 0.291, 0.285)
Sr (0.709, 0.709, 0.715)
Li (0.000, 0.000, 0.500)
Li (0.168, 0.168, 0.434)
Li (0.324, 0.324, 0.980)
Li (0.492, 0.492, 0.290)
Li (0.508, 0.508, 0.710)
Li (0.676, 0.676, 0.020)
Li (0.832, 0.832, 0.566)
Sb (0.122, 0.122, 0.830)
Sb (0.353, 0.353, 0.722)
Sb (0.647, 0.647, 0.278)
Sb (0.878, 0.878, 0.170)

Results
The value obtained for the density of states at the Fermi level is 2.52 states/eV/f.u. The value obtained for the uncorrected formation energy is -0.740 eV per atom. The spin magnetization comes out at 0.0 μB per formula unit.